1.
Material: Tb4PdRu
Method: DFT, PBE
State: optimized geometry

Structure (POSCAR):
```
Tb4PdRu
1.0
0.000 6.709 6.709
6.709 0.000 6.709
6.709 6.709 0.000
Tb Pd Ru
16 4 4
Direct
0.188 0.188 0.812 Tb
0.188 0.812 0.188 Tb
0.188 0.812 0.812 Tb
0.399 0.399 0.399 Tb
0.399 0.399 0.804 Tb
0.399 0.804 0.399 Tb
0.557 0.557 0.943 Tb
0.557 0.943 0.557 Tb
0.557 0.943 0.943 Tb
0.804 0.399 0.399 Tb
0.812 0.188 0.188 Tb
0.812 0.188 0.812 Tb
0.812 0.812 0.188 Tb
0.943 0.557 0.557 Tb
0.943 0.557 0.943 Tb
0.943 0.943 0.557 Tb
0.158 0.158 0.158 Pd
0.158 0.158 0.525 Pd
0.158 0.525 0.158 Pd
0.525 0.158 0.158 Pd
0.166 0.611 0.611 Ru
0.611 0.166 0.611 Ru
0.611 0.611 0.166 Ru
0.611 0.611 0.611 Ru
```

## Properties
distance to the lowest polymorph of the same formula = 0.0 kJ/mol of atoms
energy of formation = -42 kJ per mole of atoms
magnetization = 0.00 μB per atom

---

2.
Material: Dy2MgGe4Pt3
Method: DFT, PBE
State: optimized geometry

Structure (POSCAR):
```
Dy2MgGe4Pt3
1.0
4.141 0.000 0.000
0.000 4.141 0.000
0.000 0.000 11.128
Dy Mg Ge Pt
2 1 4 3
Direct
0.000 0.500 0.248 Dy
0.500 0.000 0.752 Dy
0.500 0.500 0.000 Mg
0.000 0.000 0.500 Ge
0.000 0.500 0.853 Ge
0.500 0.000 0.147 Ge
0.500 0.500 0.500 Ge
0.000 0.000 0.000 Pt
0.000 0.500 0.632 Pt
0.500 0.000 0.368 Pt
```

## Properties
energy of formation = -80 kJ per mole of atoms
magnetization = 0.00 μB per atom

---

3.
Material: TaInP3
Method: DFT, PBE
State: optimized geometry

Structure (POSCAR):
```
TaInP3
1.0
4.867 0.000 0.000
0.000 4.867 0.000
0.000 0.000 4.867
Ta In P
1 1 3
Direct
0.000 0.000 0.000 Ta
0.500 0.500 0.500 In
0.000 0.000 0.500 P
0.000 0.500 0.000 P
0.500 0.000 0.000 P
```

## Properties
distance to the lowest polymorph of the same formula = 0.0 kJ/mol of atoms
energy of formation = 23 kJ per mole of atoms
magnetization = 0.00 μB per atom

---

4.
Material: Th3BiIrS
Method: DFT, PBE
State: optimized geometry

Structure (POSCAR):
```
Th3BiIrS
1.0
7.703 0.000 0.000
0.000 4.536 0.000
-3.049 0.000 9.645
Th Bi Ir S
6 2 2 2
Direct
0.011 0.250 0.346 Th
0.242 0.250 0.962 Th
0.437 0.750 0.613 Th
0.563 0.250 0.387 Th
0.758 0.750 0.038 Th
0.989 0.750 0.654 Th
0.226 0.750 0.206 Bi
0.774 0.250 0.794 Bi
0.222 0.250 0.622 Ir
0.778 0.750 0.378 Ir
0.384 0.750 0.877 S
0.616 0.250 0.123 S
```

## Properties
raw formation energy = -0.956 eV per atom
magnetization = 0.00 μB per atom

---

5.
Material: Ga2Rh2Se
Method: DFT, PBE
State: optimized geometry

Structure (POSCAR):
```
Ga2Rh2Se
1.0
7.316 0.000 0.000
0.000 7.316 0.000
0.000 0.000 2.936
Ga Rh Se
4 4 2
Direct
0.143 0.357 0.000 Ga
0.357 0.857 0.000 Ga
0.643 0.143 0.000 Ga
0.857 0.643 0.000 Ga
0.154 0.654 0.500 Rh
0.346 0.154 0.500 Rh
0.654 0.846 0.500 Rh
0.846 0.346 0.500 Rh
0.000 0.000 0.500 Se
0.500 0.500 0.500 Se
```

## Properties
distance to the lowest polymorph of the same formula = 0.0 kJ/mol of atoms
raw formation energy = -0.392 eV per atom
magnetization = 0.00 μB per atom

---

6.
Material: CaMnGaP2
Method: DFT, PBE
State: optimized geometry

Structure (POSCAR):
```
CaMnGaP2
1.0
5.137 0.000 0.000
0.000 5.137 0.000
0.000 0.000 5.195
Ca Mn Ga P
1 1 1 2
Direct
0.000 0.000 0.000 Ca
0.500 0.500 0.500 Mn
0.000 0.000 0.500 Ga
0.000 0.500 0.000 P
0.500 0.000 0.000 P
```

## Properties
energy of formation = 158 kJ per mole of atoms
magnetization = 0.07 μB per atom

---

7.
Material: Nd2Y3Er5
Method: DFT, PBE
State: optimized geometry

Structure (POSCAR):
```
Nd2Y3Er5
1.0
5.304 -7.936 0.000
5.304 7.936 0.000
-5.272 0.000 7.798
Nd Y Er
4 6 10
Direct
0.015 0.273 0.048 Nd
0.273 0.015 0.548 Nd
0.727 0.985 0.452 Nd
0.985 0.727 0.952 Nd
0.019 0.981 0.750 Y
0.221 0.469 0.451 Y
0.469 0.221 0.951 Y
0.531 0.779 0.049 Y
0.779 0.531 0.549 Y
0.981 0.019 0.250 Y
0.139 0.389 0.773 Er
0.228 0.772 0.750 Er
0.274 0.726 0.250 Er
0.389 0.139 0.273 Er
0.474 0.526 0.250 Er
0.526 0.474 0.750 Er
0.611 0.861 0.727 Er
0.726 0.274 0.750 Er
0.772 0.228 0.250 Er
0.861 0.611 0.227 Er
```

## Properties
energy of formation = 19 kJ per mole of atoms
magnetization = 0.00 μB per atom

---

8.
Material: LiMg2Cr
Method: DFT, PBE
State: optimized geometry

Structure (POSCAR):
```
LiMg2Cr
1.0
-3.559 3.559 2.831
3.559 -3.559 2.831
3.559 3.559 -2.831
Li Mg Cr
2 4 2
Direct
0.000 0.000 0.000 Li
0.750 0.250 0.500 Li
0.113 0.625 0.988 Mg
0.375 0.363 0.488 Mg
0.637 0.125 0.012 Mg
0.875 0.887 0.512 Mg
0.250 0.750 0.500 Cr
0.500 0.500 0.000 Cr
```

## Properties
energy of formation = 80 kJ per mole of atoms
magnetization = 0.07 μB per atom

---

9.
Material: Si3Te
Method: DFT, PBE
State: optimized geometry

Structure (POSCAR):
```
Si3Te
1.0
5.262 -1.694 0.000
5.262 1.694 0.000
-1.922 0.000 5.498
Si Te
3 1
Direct
0.000 0.000 0.000 Si
0.337 0.337 0.021 Si
0.663 0.663 0.979 Si
0.500 0.500 0.500 Te
```

## Properties
distance to the lowest polymorph of the same formula = 21.1 kJ/mol of atoms
raw formation energy = 0.497 eV per atom
magnetization = 0.00 μB per atom

---

10.
Material: SbRuI
Method: DFT, PBE
State: optimized geometry

Structure (POSCAR):
```
SbRuI
1.0
6.583 -1.938 0.000
6.583 1.938 0.000
-0.246 0.000 6.267
Sb Ru I
2 2 2
Direct
0.114 0.114 0.384 Sb
0.886 0.886 0.616 Sb
0.252 0.252 0.685 Ru
0.748 0.748 0.315 Ru
0.357 0.357 0.107 I
0.643 0.643 0.893 I
```

## Properties
raw formation energy = 0.043 eV per atom
magnetization = 0.00 μB per atom

---

11.
Material: MgTe2IrN
Method: DFT, PBE
State: optimized geometry

Structure (POSCAR):
```
MgTe2IrN
1.0
5.601 0.000 0.000
0.000 5.601 0.000
0.000 0.000 3.669
Mg Te Ir N
1 2 1 1
Direct
0.000 0.000 0.000 Mg
0.000 0.500 0.500 Te
0.500 0.000 0.500 Te
0.500 0.500 0.500 Ir
0.500 0.500 0.000 N
```

## Properties
distance to the lowest polymorph of the same formula = 0.0 kJ/mol of atoms
raw formation energy = 0.109 eV per atom
magnetization = 0.00 μB per atom

---

12.
Material: Ba3LaPt
Method: DFT, PBE
State: optimized geometry

Structure (POSCAR):
```
Ba3LaPt
1.0
6.126 0.000 0.000
0.000 6.126 0.000
0.000 0.000 6.126
Ba La Pt
3 1 1
Direct
0.000 0.000 0.500 Ba
0.000 0.500 0.000 Ba
0.500 0.000 0.000 Ba
0.000 0.000 0.000 La
0.500 0.500 0.500 Pt
```

## Properties
distance to the lowest polymorph of the same formula = 98.7 kJ/mol of atoms
energy of formation = 84 kJ per mole of atoms
magnetization = 0.00 μB per atom